# Al2NiO4 (PBE with a Hubbard U, relaxed)
# - electronic total energy (eV for the cell shown) = -94.0
# - excess energy over the best structure of this formula in the dataset (eV/atom) = 0.0246
data_Al2NiO4
_chemical_formula_sum 'Al4 Ni2 O8'
_cell_length_a 5.7521
_cell_length_b 5.7521
_cell_length_c 5.7521
_cell_angle_alpha 119.18
_cell_angle_beta 119.18
_cell_angle_gamma 91.43
_symmetry_space_group_name_H-M 'P 1'
_symmetry_Int_Tables_number 1
loop_
_symmetry_equiv_pos_as_xyz
'x,y,z'
loop_
_atom_site_label
_atom_site_type_symbol
_atom_site_fract_x
_atom_site_fract_y
_atom_site_fract_z
Al1 Al 0.2514 0.0000 0.2514
Al2 Al 0.7486 0.0000 0.7486
Al3 Al 0.7500 0.5014 0.7514
Al4 Al 0.7500 0.9986 0.2486
Ni1 Ni 0.1199 0.6199 0.5000
Ni2 Ni 0.3699 0.3699 0.0000
O1 O 0.5119 0.2335 0.7216
O2 O 0.5119 0.7903 0.2784
O3 O 0.5247 0.2397 0.2850
O4 O 0.5403 0.7619 0.7784
O5 O 0.9548 0.2397 0.7150
O6 O 0.9835 0.7619 0.2216
O7 O 0.9897 0.2048 0.2150
O8 O 0.9897 0.7747 0.7850